DFT (GGA-PBE) results for crystalline GePb2Se4 at its relaxed geometry.

Properties
- crystal system = tetragonal
- final energy (eV/cell) = -28.3
- energy relative to the elements, uncorrected (eV per atom) = -0.33
- E above lowest polymorph (kJ per mole of atoms) = 3.65

Unit cell a=7.1712 b=7.1712 c=7.2389 alpha=119.69 beta=119.69 gamma=90.00
Closest atoms and distances in Å follow each position.
Positions (direct):
Se 0.3889 0.8132 0.2021  1 Ge 2.39
Se 0.6111 0.6111 0.7979  1 Ge 2.39
Se 0.8132 0.3889 0.2021  1 Ge 2.39
Se 0.1868 0.1868 0.7979  1 Ge 2.39
Pb 0.7500 0.2500 0.5000  4 Se 2.99
Pb 0.2500 0.7500 0.5000  4 Se 2.99
Ge 0.5000 0.5000 0.0000  4 Se 2.39



DFT (GGA-PBE) results for crystalline Ge2PbSe at its relaxed geometry.

Properties
- crystal system = tetragonal
- N(E_F) (states/eV per atom) = 0.58
- final energy (eV/cell) = -30.7
- energy relative to the elements, uncorrected (eV per atom) = 0.26
- E above lowest polymorph (kJ per mole of atoms) = 0.00

Unit cell a=6.0049 b=6.0049 c=8.2096 alpha=68.55 beta=68.55 gamma=90.00
Closest atoms and distances in Å follow each position.
Positions (direct):
Ge 0.8750 0.8483 0.7500  2 Se 2.67, 2 Pb 2.85
Ge 0.3750 0.4017 0.7500  2 Se 2.67, 2 Pb 2.85
Ge 0.5983 0.1250 0.2500  2 Se 2.67, 2 Pb 2.85
Ge 0.1517 0.6250 0.2500  2 Se 2.67, 2 Pb 2.85
Se 0.5000 0.5000 0.0000  4 Ge 2.67
Se 0.2500 0.7500 0.5000  4 Ge 2.67
Pb 0.7500 0.2500 0.5000  4 Ge 2.85
Pb 0.0000 0.0000 0.0000  4 Ge 2.85



DFT (GGA-PBE) results for crystalline GePbSe2 at its relaxed geometry.

Properties
- crystal system = trigonal
- final energy (eV/cell) = -16.7
- energy relative to the elements, uncorrected (eV per atom) = -0.34

Unit cell a=4.0882 b=4.0882 c=7.8991 alpha=75.00 beta=75.00 gamma=60.00
Closest atoms and distances in Å follow each position.
Positions (direct):
Pb 0.4895 0.4895 0.5314  3 Se 2.91
Se 0.2686 0.2686 0.1943  3 Ge 2.71
Se 0.0807 0.0807 0.7578  3 Pb 2.91, 3 Ge 3.06
Ge 0.6612 0.6612 0.0165  3 Se 2.71